Entry 1:
First-principles (PBE) data for a relaxed Ac2Pd7Pb12 crystal, as listed in the Alexandria database.

a b c (Å): 4.5377 11.6871 11.6871
angles (deg): 120.00 90.00 90.00
With the nearest neighbours (Å) after each atom.
Fractional coordinates of all 21 atoms:
Ac1 0.5000 0.0000 0.0000  6 Pd 3.41, 6 Pb 3.79-3.80
Ac2 0.0000 0.6667 0.3333  6 Pd 3.50, 9 Pb 3.82-3.92
Pd1 0.0000 0.3333 0.6667  9 Pb 2.86-3.17
Pd2 0.0000 0.0305 0.7986  5 Pb 2.80-2.99
Pd3 0.0000 0.7682 0.9695  5 Pb 2.80-2.99
Pd4 0.0000 0.2014 0.2318  5 Pb 2.80-2.99
Pd5 0.5000 0.6211 0.5355  7 Pb 2.82-3.06
Pd6 0.5000 0.9144 0.3789  7 Pb 2.82-3.06
Pd7 0.5000 0.4645 0.0856  7 Pb 2.82-3.06
Pb1 0.5000 0.8935 0.6213  4 Pd 2.82-2.96
Pb2 0.5000 0.7278 0.1065  4 Pd 2.82-2.96
Pb3 0.5000 0.3787 0.2722  4 Pd 2.82-2.96
Pb4 0.5000 0.2446 0.7957  5 Pd 3.06-3.39
Pb5 0.5000 0.5511 0.7554  5 Pd 3.06-3.39
Pb6 0.5000 0.2043 0.4489  5 Pd 3.06-3.39
Pb7 0.0000 0.0527 0.5546  4 Pd 2.86-2.99
Pb8 0.0000 0.5019 0.9473  4 Pd 2.86-2.99
Pb9 0.0000 0.4454 0.4981  4 Pd 2.86-2.99
Pb10 0.0000 0.7579 0.7247  4 Pd 2.80-3.01
Pb11 0.0000 0.9669 0.2421  4 Pd 2.80-3.01
Pb12 0.0000 0.2753 0.0331  4 Pd 2.80-3.01

Its crystal system is hexagonal. The formation energy comes out at -0.3231 eV/atom.

---

Entry 2:
First-principles (PBE) data for a relaxed CaTb2Pr crystal, as listed in the Alexandria database.

a b c (Å): 5.8186 5.8186 5.8186
angles (deg): 60.00 60.00 60.00
With the nearest neighbours (Å) after each atom.
Fractional coordinates of all 4 atoms:
Pr1 0.0000 0.0000 0.0000  8 Tb 3.56
Ca1 0.5000 0.5000 0.5000  8 Tb 3.56
Tb1 0.2500 0.2500 0.2500  4 Ca 3.56, 4 Pr 3.56
Tb2 0.7500 0.7500 0.7500  4 Ca 3.56, 4 Pr 3.56

Its crystal system is cubic. The formation energy comes out at 0.1631 eV/atom.

---

Entry 3:
First-principles (PBE) data for a relaxed BTePO2 crystal, as listed in the Alexandria database.

a b c (Å): 3.6752 3.6752 4.1563
angles (deg): 90.00 90.00 90.00
With the nearest neighbours (Å) after each atom.
Fractional coordinates of all 5 atoms:
P1 0.0000 0.0000 0.5000  2 B 2.08
B1 0.0000 0.0000 0.0000  4 O 1.84
Te1 0.5000 0.5000 0.5000  4 P 2.60, 8 O 2.77
O1 0.0000 0.5000 0.0000  2 B 1.84
O2 0.5000 0.0000 0.0000  2 B 1.84

Its crystal system is tetragonal. The formation energy from raw total energies comes out at 1.0 eV per formula unit.

---

Entry 4:
First-principles (PBE) data for a relaxed Ac2TlI crystal, as listed in the Alexandria database.

a b c (Å): 4.9318 4.9318 8.1857
angles (deg): 72.47 72.47 60.00
With the nearest neighbours (Å) after each atom.
Fractional coordinates of all 4 atoms:
I1 0.5000 0.5000 0.5000  6 Ac 3.55
Ac1 0.2589 0.2589 0.2232  3 Tl 3.32, 3 I 3.55
Ac2 0.7411 0.7411 0.7768  3 Tl 3.32, 3 I 3.55
Tl1 0.0000 0.0000 0.0000  6 Ac 3.32

Its crystal system is trigonal. The formation energy from raw total energies comes out at -2.6 eV per formula unit.

---

Entry 5:
First-principles (PBE) data for a relaxed KTb2SmSe4 crystal, as listed in the Alexandria database.

a b c (Å): 4.1415 7.3620 7.3283
angles (deg): 71.54 90.00 90.00
With the nearest neighbours (Å) after each atom.
Fractional coordinates of all 8 atoms:
K1 0.0000 0.5000 0.5000  6 Se 3.06-3.10
Tb1 0.0000 0.0000 0.0000  6 Se 2.87-2.90
Tb2 0.5000 0.0000 0.5000  6 Se 2.95-2.96
Sm1 0.5000 0.5000 0.0000  6 Se 3.01
Se1 0.0000 0.7616 0.7522  3 Tb 2.90-2.95, 2 Sm 3.01, 1 K 3.06
Se2 0.0000 0.2384 0.2478  3 Tb 2.90-2.95, 2 Sm 3.01, 1 K 3.06
Se3 0.5000 0.7703 0.2344  3 Tb 2.87-2.96, 1 Sm 3.01, 2 K 3.10
Se4 0.5000 0.2297 0.7656  3 Tb 2.87-2.96, 1 Sm 3.01, 2 K 3.10

Its crystal system is monoclinic. The formation energy from raw total energies comes out at -13.9 eV per formula unit.

---

Entry 6:
First-principles (PBE) data for a relaxed KSr2In2 crystal, as listed in the Alexandria database.

a b c (Å): 6.3215 6.3215 6.9861
angles (deg): 63.10 63.10 90.00
With the nearest neighbours (Å) after each atom.
Fractional coordinates of all 5 atoms:
Sr1 0.7500 0.2500 0.5000  4 In 3.42
Sr2 0.2500 0.7500 0.5000  4 In 3.42
K1 0.0000 0.0000 0.0000  2 In 3.98, 8 Sr 4.15
In1 0.3708 0.3708 0.2585  1 In 2.78
In2 0.6292 0.6292 0.7415  1 In 2.78

Its crystal system is tetragonal. The formation energy comes out at -0.1500 eV/atom.

---

Entry 7:
First-principles (PBE) data for a relaxed Mn2VAs2 crystal, as listed in the Alexandria database.

a b c (Å): 3.7074 3.7074 5.8129
angles (deg): 80.60 80.60 84.15
With the nearest neighbours (Å) after each atom.
Fractional coordinates of all 5 atoms:
Mn1 0.2434 0.7566 0.5000  4 As 2.37-2.45, 2 Mn 2.42-2.55
Mn2 0.7566 0.2434 0.5000  4 As 2.37-2.45, 2 Mn 2.42-2.55
V1 0.0000 0.0000 0.0000  2 As 2.48
As1 0.6685 0.6685 0.7714  4 Mn 2.37-2.45, 1 V 2.48
As2 0.3315 0.3315 0.2286  4 Mn 2.37-2.45, 1 V 2.48

Its crystal system is monoclinic. The formation energy comes out at 0.0358 eV/atom.

---

Entry 8:
First-principles (PBE) data for a relaxed Ac3TiCu2O9 crystal, as listed in the Alexandria database.

a b c (Å): 5.6214 5.6214 6.9044
angles (deg): 90.00 90.00 120.00
With the nearest neighbours (Å) after each atom.
Fractional coordinates of all 15 atoms:
Ac1 0.3333 0.6667 0.6774  12 O 2.76-2.88
Ac2 0.0000 0.0000 0.0000  12 O 2.81
Ac3 0.6667 0.3333 0.3226  12 O 2.76-2.88
Ti1 0.0000 0.0000 0.5000  6 O 1.95
Cu1 0.3333 0.6667 0.1658  6 O 1.99-2.03
Cu2 0.6667 0.3333 0.8342  6 O 1.99-2.03
O1 0.8367 0.1633 0.6637  1 Ti 1.95, 1 Cu 2.03
O2 0.8367 0.6734 0.6637  1 Ti 1.95, 1 Cu 2.03
O3 0.3266 0.1633 0.6637  1 Ti 1.95, 1 Cu 2.03
O4 0.6734 0.8367 0.3363  1 Ti 1.95, 1 Cu 2.03
O5 0.1633 0.3266 0.3363  1 Ti 1.95, 1 Cu 2.03
O6 0.1633 0.8367 0.3363  1 Ti 1.95, 1 Cu 2.03
O7 0.5000 0.0000 0.0000  2 Cu 1.99
O8 0.0000 0.5000 0.0000  2 Cu 1.99
O9 0.5000 0.5000 0.0000  2 Cu 1.99

Its crystal system is trigonal. The formation energy from raw total energies comes out at -37.6 eV per formula unit.

---

Entry 9:
First-principles (PBE) data for a relaxed CsZn2H4 crystal, as listed in the Alexandria database.

a b c (Å): 5.5866 5.5866 5.5866
angles (deg): 103.56 103.56 122.09
With the nearest neighbours (Å) after each atom.
Fractional coordinates of all 7 atoms:
Cs1 0.5000 0.5000 0.0000  12 H 3.27-3.58
Zn1 0.2500 0.7500 0.5000  4 H 1.81
Zn2 0.7500 0.2500 0.5000  4 H 1.81
H1 0.3356 0.0562 0.3918  2 Zn 1.81
H2 0.9438 0.3356 0.2794  2 Zn 1.81
H3 0.0562 0.6644 0.7206  2 Zn 1.81
H4 0.6644 0.9438 0.6082  2 Zn 1.81

Its crystal system is tetragonal. The total DFT energy (no corrections) comes out at -2.295 eV per atom.

---

Entry 10:
First-principles (PBE) data for a relaxed GdPuThTl crystal, as listed in the Alexandria database.

a b c (Å): 5.4645 5.4645 5.4645
angles (deg): 60.00 60.00 60.00
With the nearest neighbours (Å) after each atom.
Fractional coordinates of all 4 atoms:
Tl1 0.7500 0.7500 0.7500  4 Pu 3.35, 4 Gd 3.35
Gd1 0.0000 0.0000 0.0000  4 Th 3.35, 4 Tl 3.35
Th1 0.2500 0.2500 0.2500  4 Gd 3.35, 4 Pu 3.35
Pu1 0.5000 0.5000 0.5000  4 Tl 3.35, 4 Th 3.35

Its crystal system is cubic. The formation energy comes out at 0.1349 eV/atom.